Entry 1:
NaInS2 | PBE | optimized geometry

Calculated values
E_tot = -3.921 eV per atom
Calculated volume = 21.9 Å³ per atom
E_form (uncorrected) = -0.84 eV per atom
Theoretical density = 3.84 g cm⁻³

Structure (extended XYZ):
```
4
Lattice="3.314 -1.913 0.000 3.314 1.913 0.000 -2.220 0.000 6.894" Properties=species:S:1:pos:R:3 pbc="T T T"
Na 0.000 0.000 0.000
In -0.009 0.000 3.484
S 2.201 0.000 4.971
S 4.411 0.000 1.993
```

Entry 2:
LaPuCuPb | PBE | optimized geometry

Calculated values
E_tot = -6.884 eV per atom
Calculated volume = 27.5 Å³ per atom
Energy of formation = -0.12 eV/atom
Theoretical density = 9.86 g cm⁻³

Structure (extended XYZ):
```
4
Lattice="0.000 3.803 3.803 3.803 0.000 3.803 3.803 3.803 0.000" Properties=species:S:1:pos:R:3 pbc="T T T"
La 0.000 0.000 0.000
Pu 3.803 3.803 3.803
Cu 1.902 1.902 1.902
Pb 5.705 5.705 5.705
```

Entry 3:
TaNbAgO6 | PBE | optimized geometry

Calculated values
E_tot = -8.076 eV per atom
Calculated volume = 13.2 Å³ per atom
E_form (uncorrected) = -2.02 eV per atom
Theoretical density = 6.67 g cm⁻³

Structure (extended XYZ):
```
18
Lattice="5.349 0.000 0.000 -2.675 4.632 0.000 0.000 0.000 9.592" Properties=species:S:1:pos:R:3 pbc="T T T"
Ta 0.000 3.088 2.398
Ta 2.675 1.544 7.194
Nb 0.000 3.088 7.194
Nb 2.675 1.544 2.398
Ag 0.000 0.000 0.000
Ag 0.000 0.000 4.796
O -0.971 1.702 1.329
O -1.686 2.941 3.467
O 0.971 1.702 3.467
O -0.715 4.622 1.329
O 1.959 0.010 6.126
O 0.989 1.692 8.263
O 1.686 2.941 1.329
O 0.715 4.622 3.467
O 3.390 0.010 8.263
O 1.704 2.930 6.126
O 4.360 1.692 6.126
O 3.645 2.930 8.263
```

Entry 4:
Pr4In5Ge2 | PBE | optimized geometry

Calculated values
E_tot = -4.368 eV per atom
Calculated volume = 27.7 Å³ per atom
Energy of formation = -0.55 eV/atom
Theoretical density = 6.99 g cm⁻³

Structure (extended XYZ):
```
11
Lattice="7.736 0.000 0.000 0.000 4.418 0.000 -0.473 0.000 8.923" Properties=species:S:1:pos:R:3 pbc="T T T"
Pr 1.431 0.000 3.197
Pr 1.358 0.000 8.123
Pr 5.905 0.000 0.800
Pr 5.832 0.000 5.726
In 0.769 2.209 5.627
In 3.445 2.209 1.451
In 3.631 2.209 4.461
In 3.817 2.209 7.471
In 6.494 2.209 3.296
Ge 0.577 2.209 1.134
Ge 6.685 2.209 7.789
```

Entry 5:
Hf5Tc4Ni | PBE | optimized geometry

Calculated values
E_tot = -10.203 eV per atom
Calculated volume = 17.2 Å³ per atom
Energy of formation = -0.50 eV/atom
Theoretical density = 12.96 g cm⁻³

Structure (extended XYZ):
```
10
Lattice="3.268 0.000 0.000 0.000 3.268 0.000 0.000 0.000 16.112" Properties=species:S:1:pos:R:3 pbc="T T T"
Hf 0.000 0.000 0.000
Hf 0.000 0.000 3.263
Hf 0.000 0.000 6.458
Hf 0.000 0.000 9.654
Hf 0.000 0.000 12.849
Tc 1.634 1.634 1.638
Tc 1.634 1.634 4.944
Tc 1.634 1.634 11.169
Tc 1.634 1.634 14.475
Ni 1.634 1.634 8.056
```

Entry 6:
CrRh | PBE | optimized geometry

Calculated values
E_tot = -8.391 eV per atom
Calculated volume = 13.4 Å³ per atom
Energy of formation = 0.10 eV/atom
Theoretical density = 9.62 g cm⁻³

Structure (extended XYZ):
```
12
Lattice="4.200 0.000 0.000 -2.100 3.638 0.000 0.000 0.000 10.499" Properties=species:S:1:pos:R:3 pbc="T T T"
Cr 0.000 0.000 1.365
Cr 0.000 0.000 9.134
Cr 0.000 2.425 2.615
Cr 0.000 2.425 5.241
Cr 2.100 1.213 5.258
Cr 2.100 1.213 7.884
Rh 0.000 0.000 3.944
Rh 0.000 0.000 6.555
Rh 0.000 2.425 0.050
Rh 0.000 2.425 7.839
Rh 2.100 1.213 2.660
Rh 2.100 1.213 10.449
```

Entry 7:
Sm2LuBr | PBE | optimized geometry

Calculated values
E_tot = -4.360 eV per atom
Calculated volume = 29.9 Å³ per atom
E_form (uncorrected) = -0.45 eV per atom
E above lowest polymorph = 0.074 eV per atom
Theoretical density = 7.72 g cm⁻³

Structure (extended XYZ):
```
4
Lattice="3.539 0.000 0.000 0.000 3.539 0.000 0.000 0.000 9.537" Properties=species:S:1:pos:R:3 pbc="T T T"
Sm 0.000 0.000 2.261
Sm 0.000 0.000 7.275
Lu 1.769 1.769 4.768
Br 1.769 1.769 0.000
```

Entry 8:
Cd3Sn2Hg2 | PBE | optimized geometry

Calculated values
E_tot = -1.574 eV per atom
Calculated volume = 24.9 Å³ per atom
E above lowest polymorph = 0.000 eV per atom
Energy of formation = 0.05 eV/atom
Theoretical density = 9.30 g cm⁻³

Structure (extended XYZ):
```
7
Lattice="4.702 0.000 0.000 -2.198 5.149 0.000 -0.265 -1.088 7.192" Properties=species:S:1:pos:R:3 pbc="T T T"
Cd 0.000 0.000 0.000
Cd -0.168 1.856 6.185
Cd 2.408 2.205 1.008
Sn 0.108 4.302 1.999
Sn 2.131 -0.241 5.193
Hg -0.064 1.114 3.051
Hg 2.303 2.947 4.141
```

Entry 9:
CaTa3C | PBE | optimized geometry

Calculated values
E_tot = -5.514 eV per atom
Calculated volume = 20.6 Å³ per atom
E above lowest polymorph = 3.544 eV per atom
Energy of formation = 3.84 eV/atom
Theoretical density = 9.61 g cm⁻³

Structure (extended XYZ):
```
5
Lattice="4.685 0.000 0.000 0.000 4.685 0.000 0.000 0.000 4.685" Properties=species:S:1:pos:R:3 pbc="T T T"
Ca 0.000 0.000 0.000
Ta 0.000 0.000 2.342
Ta 0.000 2.342 0.000
Ta 2.342 0.000 0.000
C 2.342 2.342 2.342
```

Entry 10:
NaCaInGa | PBE | optimized geometry

Calculated values
E_tot = -2.475 eV per atom
Calculated volume = 25.8 Å³ per atom
Energy of formation = -0.20 eV/atom
Theoretical density = 3.99 g cm⁻³

Structure (extended XYZ):
```
4
Lattice="0.000 3.722 3.722 3.722 0.000 3.722 3.722 3.722 0.000" Properties=species:S:1:pos:R:3 pbc="T T T"
Na 0.000 0.000 0.000
Ca 3.722 3.722 3.722
In 5.583 5.583 5.583
Ga 1.861 1.861 1.861
```

Entry 11:
TcOsBr2 | PBE | optimized geometry

Calculated values
E_tot = -5.319 eV per atom
Calculated volume = 24.6 Å³ per atom
E_form (uncorrected) = 0.92 eV per atom
E above lowest polymorph = 0.636 eV per atom
Theoretical density = 7.57 g cm⁻³

Structure (extended XYZ):
```
4
Lattice="-1.779 2.102 6.573 1.779 -2.102 6.573 1.779 2.102 -6.573" Properties=species:S:1:pos:R:3 pbc="T T T"
Tc 0.000 0.000 0.000
Os 0.000 0.000 6.573
Br 1.779 0.000 4.754
Br 0.000 2.102 1.819
```

Entry 12:
YCrAgS2 | PBE | optimized geometry

Calculated values
E_tot = -5.163 eV per atom
Calculated volume = 23.1 Å³ per atom
E_form (uncorrected) = 0.28 eV per atom
Theoretical density = 4.49 g cm⁻³

Structure (extended XYZ):
```
5
Lattice="4.903 0.000 0.000 0.000 4.903 0.000 0.000 0.000 4.814" Properties=species:S:1:pos:R:3 pbc="T T T"
Y 0.000 0.000 0.000
Cr 2.451 2.451 0.000
Ag 2.451 2.451 2.407
S 0.000 2.451 2.407
S 2.451 0.000 2.407
```

Entry 13:
RbBeRe3 | PBE | optimized geometry

Calculated values
E_tot = -6.398 eV per atom
Calculated volume = 17.4 Å³ per atom
E above lowest polymorph = 0.000 eV per atom
Energy of formation = 2.01 eV/atom
Theoretical density = 12.48 g cm⁻³

Structure (extended XYZ):
```
5
Lattice="4.429 0.000 0.000 0.000 4.429 0.000 0.000 0.000 4.429" Properties=species:S:1:pos:R:3 pbc="T T T"
Rb 0.000 0.000 0.000
Be 2.215 2.215 2.215
Re 0.000 2.215 2.215
Re 2.215 0.000 2.215
Re 2.215 2.215 0.000
```

Entry 14:
MgGeTe2Pb | PBE | optimized geometry

Calculated values
E_tot = -2.910 eV per atom
Calculated volume = 33.4 Å³ per atom
E_form (uncorrected) = 0.33 eV per atom
Theoretical density = 5.57 g cm⁻³

Structure (extended XYZ):
```
5
Lattice="5.507 0.000 0.000 0.000 5.507 0.000 0.000 0.000 5.499" Properties=species:S:1:pos:R:3 pbc="T T T"
Mg 0.000 0.000 0.000
Ge 2.754 2.754 2.749
Te 0.000 2.754 2.749
Te 2.754 0.000 2.749
Pb 2.754 2.754 0.000
```

Entry 15:
NaTl3Ni | PBE | optimized geometry

Calculated values
E_tot = -2.796 eV per atom
Calculated volume = 27.7 Å³ per atom
Energy of formation = 0.04 eV/atom
Theoretical density = 8.34 g cm⁻³

Structure (extended XYZ):
```
5
Lattice="5.172 0.000 0.000 0.000 5.172 0.000 0.000 0.000 5.172" Properties=species:S:1:pos:R:3 pbc="T T T"
Na 0.000 0.000 0.000
Tl 0.000 2.586 2.586
Tl 2.586 0.000 2.586
Tl 2.586 2.586 0.000
Ni 2.586 2.586 2.586
```

Entry 16:
LiLaFe2 | PBE | optimized geometry

Calculated values
E_tot = -5.173 eV per atom
Calculated volume = 18.1 Å³ per atom
E above lowest polymorph = 0.556 eV per atom
Energy of formation = 0.77 eV/atom
Theoretical density = 5.90 g cm⁻³

Structure (extended XYZ):
```
4
Lattice="1.482 0.855 9.534 -1.482 0.855 9.534 0.000 -1.711 9.534" Properties=species:S:1:pos:R:3 pbc="T T T"
Li 0.000 0.000 0.000
La 0.000 0.000 14.302
Fe 0.000 0.000 7.380
Fe 0.000 0.000 21.223
```

Entry 17:
LiTeMo2 | PBE | optimized geometry

Calculated values
E_tot = -6.317 eV per atom
Calculated volume = 17.8 Å³ per atom
E_form (uncorrected) = 0.36 eV per atom
Theoretical density = 7.62 g cm⁻³

Structure (extended XYZ):
```
8
Lattice="-1.898 1.898 9.880 1.898 -1.898 9.880 1.898 1.898 -9.880" Properties=species:S:1:pos:R:3 pbc="T T T"
Li 0.000 0.000 0.000
Li 0.000 1.898 4.940
Te 1.898 0.000 4.940
Te 0.000 0.000 9.880
Mo 2.847 0.849 -2.470
Mo 0.849 0.949 2.470
Mo -0.949 1.049 7.410
Mo 1.049 0.949 12.350
```

Entry 18:
LaBeGe3 | PBE | optimized geometry

Calculated values
E_tot = -4.413 eV per atom
Calculated volume = 22.8 Å³ per atom
E above lowest polymorph = 0.412 eV per atom
Energy of formation = 0.09 eV/atom
Theoretical density = 5.33 g cm⁻³

Structure (extended XYZ):
```
10
Lattice="3.860 0.000 0.000 -1.930 3.342 0.000 0.000 0.000 17.686" Properties=species:S:1:pos:R:3 pbc="T T T"
La 0.000 0.000 0.000
La 0.000 0.000 8.843
Be 0.000 2.228 4.421
Be 1.930 1.114 13.264
Ge 0.000 0.000 4.421
Ge 0.000 0.000 13.264
Ge 0.000 2.228 2.266
Ge 0.000 2.228 6.577
Ge 1.930 1.114 11.109
Ge 1.930 1.114 15.419
```

Entry 19:
Pm2DyYS6 | PBE | optimized geometry

Calculated values
E_tot = -6.578 eV per atom
Calculated volume = 26.6 Å³ per atom
E_form (uncorrected) = -2.05 eV per atom
Theoretical density = 4.58 g cm⁻³

Structure (extended XYZ):
```
10
Lattice="3.516 2.030 6.209 -3.516 2.030 6.209 0.000 -4.060 6.209" Properties=species:S:1:pos:R:3 pbc="T T T"
Pm 0.000 0.000 0.000
Pm 0.000 0.000 9.311
Dy 0.000 0.000 3.808
Y 0.000 0.000 13.119
S -1.126 -2.293 8.184
S -2.096 0.093 11.285
S -1.423 2.122 8.184
S 0.968 -1.861 11.285
S 2.549 0.172 8.184
S 1.128 1.769 11.285
```

Entry 20:
LiCrIr4 | PBE | optimized geometry

Calculated values
E_tot = -7.597 eV per atom
Calculated volume = 16.2 Å³ per atom
Energy of formation = 0.23 eV/atom
Theoretical density = 14.18 g cm⁻³

Structure (extended XYZ):
```
6
Lattice="0.000 3.646 3.646 3.646 0.000 3.646 3.646 3.646 0.000" Properties=species:S:1:pos:R:3 pbc="T T T"
Li 0.000 0.000 0.000
Cr 5.469 5.469 5.469
Ir 2.735 2.735 2.735
Ir 4.557 4.557 2.735
Ir 4.557 2.735 4.557
Ir 2.735 4.557 4.557
```

Entry 21:
Cd2Pt9Rh | PBE | optimized geometry

Calculated values
E_tot = -5.427 eV per atom
Calculated volume = 16.1 Å³ per atom
Energy of formation = -0.13 eV/atom
Theoretical density = 17.91 g cm⁻³

Structure (extended XYZ):
```
12
Lattice="3.994 0.000 0.000 0.000 3.994 0.000 0.000 0.000 12.105" Properties=species:S:1:pos:R:3 pbc="T T T"
Cd 0.000 0.000 2.045
Cd 0.000 0.000 10.060
Pt 0.000 1.997 0.000
Pt 0.000 1.997 4.113
Pt 0.000 1.997 7.993
Pt 1.997 0.000 0.000
Pt 1.997 0.000 4.113
Pt 1.997 0.000 7.993
Pt 1.997 1.997 2.047
Pt 1.997 1.997 6.053
Pt 1.997 1.997 10.058
Rh 0.000 0.000 6.053
```

Entry 22:
Sr3Yb | PBE | optimized geometry

Calculated values
E_tot = -1.635 eV per atom
Calculated volume = 49.0 Å³ per atom
E above lowest polymorph = 0.004 eV per atom
Energy of formation = 0.01 eV/atom
Theoretical density = 3.69 g cm⁻³

Structure (extended XYZ):
```
4
Lattice="0.000 4.612 4.612 4.612 0.000 4.612 4.612 4.612 0.000" Properties=species:S:1:pos:R:3 pbc="T T T"
Sr 0.000 0.000 0.000
Sr 2.306 2.306 2.306
Sr 6.917 6.917 6.917
Yb 4.612 4.612 4.612
```